MgCd2Mo | GGA-PBE | optimized geometry

Properties
Total magnetization   0.00 μB per formula unit
N(E_F)   3.29 states/eV/f.u.
Energy relative to the elements   0.331 eV per atom

Cell lengths 2.923, 4.395, 5.942 Å; angles 90.00, 90.00, 90.00 degrees
Fractional coordinates of all 4 atoms:
Mg 0.000 0.000 0.000
Cd 0.500 0.500 0.260
Cd 0.500 0.500 0.740
Mo 0.000 0.000 0.500